No. 1
## YErCoRu (PBE-GGA)

Data for a geometry-optimized YErCoRu structure.

DFT formation energy = -24.43 kJ/mol of atoms
Calculated density = 9.09 g/cm³

a b c (Å): 4.7546 4.7546 4.7546
angles (deg): 60.00 60.00 60.00
Last column: nearest neighbours and their distance in Å.
Element x y z (fractional)
Co 0.5000 0.5000 0.5000  4 Er 2.91, 4 Y 2.91
Er 0.2500 0.2500 0.2500  4 Ru 2.91, 4 Co 2.91
Ru 0.0000 0.0000 0.0000  4 Er 2.91, 4 Y 2.91
Y 0.7500 0.7500 0.7500  4 Co 2.91, 4 Ru 2.91

---

No. 2
## TlVCoTe3 (PBE-GGA)

Data for a geometry-optimized TlVCoTe3 structure.

Uncorrected energy = -58.8 eV per cell
Calculated density = 7.45 g/cm³

a b c (Å): 3.6944 8.8755 10.7452
angles (deg): 118.08 90.00 90.00
Last column: nearest neighbours and their distance in Å.
Element x y z (fractional)
V 0.2500 0.7206 0.1841  6 Te 2.64-2.81, 2 Co 2.79
V 0.7500 0.2794 0.8159  6 Te 2.64-2.81, 2 Co 2.79
Co 0.2500 0.0829 0.6079  4 Te 2.50-2.54, 2 Co 2.78, 2 V 2.79
Co 0.7500 0.9171 0.3921  4 Te 2.50-2.54, 2 Co 2.78, 2 V 2.79
Tl 0.7500 0.6898 0.7076  7 Te 3.35-3.68, 2 Tl 3.69
Tl 0.2500 0.3102 0.2924  7 Te 3.35-3.68, 2 Tl 3.69
Te 0.7500 0.4541 0.1108  3 V 2.80-2.81
Te 0.2500 0.0746 0.8374  1 Co 2.50, 2 V 2.68
Te 0.2500 0.7633 0.4443  3 Co 2.51-2.54, 1 V 2.64
Te 0.2500 0.5459 0.8892  3 V 2.80-2.81
Te 0.7500 0.2367 0.5557  3 Co 2.51-2.54, 1 V 2.64
Te 0.7500 0.9254 0.1626  1 Co 2.50, 2 V 2.68

---

No. 3
## Ba3In3Pd (PBE-GGA)

Data for a geometry-optimized Ba3In3Pd structure.

DFT formation energy = -44.99 kJ/mol of atoms
Calculated density = 5.73 g/cm³

a b c (Å): 4.4195 7.0400 17.1547
angles (deg): 82.81 82.60 71.71
Last column: nearest neighbours and their distance in Å.
Element x y z (fractional)
In 0.0992 0.8801 0.9214  2 In 3.20-3.24
In 0.1888 0.1622 0.4602  3 Pd 2.81-2.91
In 0.9736 0.8175 0.2354  1 Pd 2.91, 1 In 3.20
In 0.8112 0.8378 0.5398  3 Pd 2.81-2.91
In 0.9008 0.1199 0.0786  2 In 3.20-3.24
In 0.0264 0.1825 0.7646  1 Pd 2.91, 1 In 3.20
Ba 0.3811 0.3170 0.9209  7 In 3.63-3.77
Ba 0.2606 0.2358 0.2430  2 Pd 3.40, 5 In 3.58-3.70
Ba 0.4850 0.6383 0.3917  2 Pd 3.39, 5 In 3.58-3.79
Ba 0.5150 0.3617 0.6083  2 Pd 3.39, 5 In 3.58-3.79
Ba 0.7394 0.7642 0.7570  2 Pd 3.40, 5 In 3.58-3.70
Ba 0.6189 0.6830 0.0791  7 In 3.63-3.77
Pd 0.7981 0.0254 0.3784  4 In 2.81-2.91
Pd 0.2019 0.9746 0.6216  4 In 2.81-2.91

---

No. 4
## TlW2Au (PBE-GGA)

Data for a geometry-optimized TlW2Au structure.

DFT formation energy = 76.86 kJ/mol of atoms
Energy above the most stable polymorph in this dataset = 27.8 kJ per mole of atoms
Calculated density = 17.70 g/cm³

a b c (Å): 5.5099 5.5099 5.5099
angles (deg): 143.90 132.29 61.26
Last column: nearest neighbours and their distance in Å.
Element x y z (fractional)
W 0.9995 0.9995 0.0000  4 W 2.81, 2 Au 2.92, 2 Tl 2.92
W 0.5005 0.5005 0.0000  4 W 2.81, 2 Au 2.92, 2 Tl 2.92
Tl 0.2500 0.7500 0.5000  4 Au 2.81, 4 W 2.92
Au 0.7500 0.2500 0.5000  4 Tl 2.81, 4 W 2.92